KBaPCl2 | GGA-PBE | relaxed

Cell: 6.031 6.031 6.460 Å, 90.00 90.00 90.00°
Positions (direct):
P: 0.000 0.000 0.500
K: 0.500 0.500 0.500
Ba: 0.000 0.000 0.000
Cl: 0.000 0.500 0.000
Cl: 0.500 0.000 0.000

Uncorrected formation energy in eV per atom: -1.097
Crystal system: tetragonal
VASP energy in eV/atom: -3.521